1.
A geometry-optimized BeTcRu3 structure. Source: Alexandria, functional PBEsol.

Lattice parameters (Å, degrees): 4.512 4.512 4.512 90.00 90.00 90.00
Sites, in units of the cell vectors:
Be1 0.000 0.000 0.000
Tc1 0.500 0.500 0.500
Ru1 0.000 0.500 0.500
Ru2 0.500 0.000 0.500
Ru3 0.500 0.500 0.000

Properties
E in eV per atom: -7.173
Formation energy in eV/atom: 1.984
Volume in Å³/f.u.: 92
Spin magnetization in μB per cell: 0.005

---

2.
A geometry-optimized Ce3SiS2 structure. Source: Alexandria, functional PBEsol.

Lattice parameters (Å, degrees): 6.956 6.956 6.956 146.33 131.85 60.04
Sites, in units of the cell vectors:
Ce1 0.000 0.000 0.000
Ce2 0.329 0.329 0.000
Ce3 0.671 0.671 0.000
Si1 0.500 0.000 0.500
S1 0.165 0.665 0.500
S2 0.835 0.335 0.500

Properties
E in eV per atom: -7.273
Volume in Å³/f.u.: 138
Spin magnetization in μB per cell: 0.280